1.
# PBE-GGA Pm4PrHoS8, optimized geometry
data_Pm4PrHoS8
_chemical_formula_sum 'Pm12 Pr3 Ho3 S24'
_cell_length_a 8.2804
_cell_length_b 8.2804
_cell_length_c 20.1176
_cell_angle_alpha 90.00
_cell_angle_beta 90.00
_cell_angle_gamma 120.00
_symmetry_space_group_name_H-M 'R 3 m'
_symmetry_Int_Tables_number 160
_symmetry_space_group_name_Hall 'R 3 -2"'
loop_
_atom_site_label
_atom_site_type_symbol
_atom_site_fract_x
_atom_site_fract_y
_atom_site_fract_z
_atom_site_occupancy
Pm1 Pm 0.0000 0.0000 0.0000 1
Pm2 Pm 0.0011 0.5006 0.8765 1
Pr1 Pr 0.0000 0.0000 0.7527 1
Ho1 Ho 0.0000 0.0000 0.3762 1
S1 S 0.0000 0.0000 0.1327 1
S2 S 0.0000 0.0000 0.6182 1
S3 S 0.0308 0.5154 0.1267 1
S4 S 0.1799 0.3599 0.9602 1
# Formation energy (no corrections)   -1.92 eV/atom
# DOS at the Fermi energy   24.26 states/eV/cell



2.
# PBE-GGA TaBMo2Pt, optimized geometry
data_TaBMo2Pt
_chemical_formula_sum 'Ta1 B1 Mo2 Pt1'
_cell_length_a 4.241
_cell_length_b 4.241
_cell_length_c 4.107
_cell_angle_alpha 90.00
_cell_angle_beta 90.00
_cell_angle_gamma 90.00
_symmetry_space_group_name_H-M 'P 4/m m m'
_symmetry_Int_Tables_number 123
_symmetry_space_group_name_Hall '-P 4 2'
loop_
_atom_site_label
_atom_site_type_symbol
_atom_site_fract_x
_atom_site_fract_y
_atom_site_fract_z
_atom_site_occupancy
Ta1 Ta 0.000 0.000 0.000 1
B1 B 0.500 0.500 0.500 1
Mo1 Mo 0.000 0.500 0.500 1
Pt1 Pt 0.500 0.500 0.000 1
# DFT total energy   -9.388 eV per atom
# DOS at the Fermi energy   3.07 states/eV/cell



3.
# PBE-GGA Rb6TeS2, optimized geometry
data_Rb6TeS2
_chemical_formula_sum 'Rb12 Te2 S4'
_cell_length_a 8.342
_cell_length_b 10.721
_cell_length_c 8.866
_cell_angle_alpha 90.00
_cell_angle_beta 98.63
_cell_angle_gamma 90.00
_symmetry_space_group_name_H-M 'C 1 2/m 1'
_symmetry_Int_Tables_number 12
_symmetry_space_group_name_Hall '-C 2y'
loop_
_atom_site_label
_atom_site_type_symbol
_atom_site_fract_x
_atom_site_fract_y
_atom_site_fract_z
_atom_site_occupancy
Rb1 Rb 0.217 0.207 0.223 1
Rb2 Rb 0.221 0.500 0.421 1
Te1 Te 0.000 0.500 0.000 1
S1 S 0.000 0.230 0.500 1
# Formation energy (no corrections)   -0.90 eV/atom



4.
# PBE-GGA BaCe2C, optimized geometry
data_BaCe2C
_chemical_formula_sum 'Ba3 Ce6 C3'
_cell_length_a 3.6292
_cell_length_b 3.6292
_cell_length_c 30.3713
_cell_angle_alpha 90.00
_cell_angle_beta 90.00
_cell_angle_gamma 120.00
_symmetry_space_group_name_H-M 'R -3 m'
_symmetry_Int_Tables_number 166
_symmetry_space_group_name_Hall '-R 3 2"'
loop_
_atom_site_label
_atom_site_type_symbol
_atom_site_fract_x
_atom_site_fract_y
_atom_site_fract_z
_atom_site_occupancy
Ba1 Ba 0.0000 0.0000 0.0000 1
Ce1 Ce 0.0000 0.0000 0.1206 1
C1 C 0.0000 0.0000 0.5000 1
# DFT total energy   -5.702 eV per atom
# DOS at the Fermi energy   25.60 states/eV/cell



5.
# PBE-GGA KRb2NpBr6, optimized geometry
data_KRb2NpBr6
_chemical_formula_sum 'K2 Rb4 Np2 Br12'
_cell_length_a 8.099
_cell_length_b 8.640
_cell_length_c 14.187
_cell_angle_alpha 90.00
_cell_angle_beta 124.66
_cell_angle_gamma 90.00
_symmetry_space_group_name_H-M 'P 1 21/c 1'
_symmetry_Int_Tables_number 14
_symmetry_space_group_name_Hall '-P 2ybc'
loop_
_atom_site_label
_atom_site_type_symbol
_atom_site_fract_x
_atom_site_fract_y
_atom_site_fract_z
_atom_site_occupancy
K1 K 0.000 0.000 0.000 1
Rb1 Rb 0.223 0.074 0.750 1
Np1 Np 0.500 0.000 0.500 1
Br1 Br 0.155 0.185 0.442 1
Br2 Br 0.264 0.718 0.438 1
Br3 Br 0.384 0.045 0.267 1
# Formation energy (no corrections)   -1.61 eV/atom
# DOS at the Fermi energy   10.17 states/eV/cell



6.
# PBE-GGA Na3Tl5In, optimized geometry
data_Na3Tl5In
_chemical_formula_sum 'Na6 Tl10 In2'
_cell_length_a 8.000
_cell_length_b 8.000
_cell_length_c 8.450
_cell_angle_alpha 90.00
_cell_angle_beta 90.00
_cell_angle_gamma 90.00
_symmetry_space_group_name_H-M 'P 4/m b m'
_symmetry_Int_Tables_number 127
_symmetry_space_group_name_Hall '-P 4 2ab'
loop_
_atom_site_label
_atom_site_type_symbol
_atom_site_fract_x
_atom_site_fract_y
_atom_site_fract_z
_atom_site_occupancy
Na1 Na 0.000 0.000 0.000 1
Na2 Na 0.123 0.377 0.500 1
Tl1 Tl 0.000 0.000 0.500 1
Tl2 Tl 0.211 0.711 0.224 1
In1 In 0.000 0.500 0.000 1
# DFT total energy   -2.053 eV per atom
# DOS at the Fermi energy   8.54 states/eV/cell



7.
# PBE-GGA Ca2YN, optimized geometry
data_Ca2YN
_chemical_formula_sum 'Ca8 Y4 N4'
_cell_length_a 7.208
_cell_length_b 7.208
_cell_length_c 9.966
_cell_angle_alpha 90.00
_cell_angle_beta 90.00
_cell_angle_gamma 90.00
_symmetry_space_group_name_H-M 'I -4 2 d'
_symmetry_Int_Tables_number 122
_symmetry_space_group_name_Hall 'I -4 2bw'
loop_
_atom_site_label
_atom_site_type_symbol
_atom_site_fract_x
_atom_site_fract_y
_atom_site_fract_z
_atom_site_occupancy
Ca1 Ca 0.057 0.250 0.125 1
Y1 Y 0.000 0.000 0.500 1
N1 N 0.000 0.000 0.000 1
# Formation energy (no corrections)   0.00 eV/atom
# DOS at the Fermi energy   12.01 states/eV/cell



8.
# PBE-GGA Pm2RuPt, optimized geometry
data_Pm2RuPt
_chemical_formula_sum 'Pm8 Ru4 Pt4'
_cell_length_a 7.074
_cell_length_b 7.074
_cell_length_c 7.074
_cell_angle_alpha 90.00
_cell_angle_beta 90.00
_cell_angle_gamma 90.00
_symmetry_space_group_name_H-M 'F m -3 m'
_symmetry_Int_Tables_number 225
_symmetry_space_group_name_Hall '-F 4 2 3'
loop_
_atom_site_label
_atom_site_type_symbol
_atom_site_fract_x
_atom_site_fract_y
_atom_site_fract_z
_atom_site_occupancy
Pm1 Pm 0.250 0.250 0.250 1
Ru1 Ru 0.000 0.000 0.000 1
Pt1 Pt 0.000 0.000 0.500 1
# DFT total energy   -6.806 eV per atom
# DOS at the Fermi energy   7.90 states/eV/cell



9.
# PBE-GGA BaCa2NdCd4, optimized geometry
data_BaCa2NdCd4
_chemical_formula_sum 'Ba3 Ca6 Nd3 Cd12'
_cell_length_a 5.5664
_cell_length_b 5.5664
_cell_length_c 27.5111
_cell_angle_alpha 90.00
_cell_angle_beta 90.00
_cell_angle_gamma 120.00
_symmetry_space_group_name_H-M 'R -3 m'
_symmetry_Int_Tables_number 166
_symmetry_space_group_name_Hall '-R 3 2"'
loop_
_atom_site_label
_atom_site_type_symbol
_atom_site_fract_x
_atom_site_fract_y
_atom_site_fract_z
_atom_site_occupancy
Ba1 Ba 0.0000 0.0000 0.0000 1
Ca1 Ca 0.0000 0.0000 0.2486 1
Nd1 Nd 0.0000 0.0000 0.5000 1
Cd1 Cd 0.0000 0.0000 0.1290 1
Cd2 Cd 0.0000 0.0000 0.3815 1
# DFT total energy   -2.122 eV per atom
# DOS at the Fermi energy   23.36 states/eV/cell



10.
# PBE-GGA Ac8Ge3Te4P, optimized geometry
data_Ac8Ge3Te4P
_chemical_formula_sum 'Ac24 Ge9 Te12 P3'
_cell_length_a 9.2687
_cell_length_b 9.2687
_cell_length_c 23.2824
_cell_angle_alpha 90.00
_cell_angle_beta 90.00
_cell_angle_gamma 120.00
_symmetry_space_group_name_H-M 'R -3 m'
_symmetry_Int_Tables_number 166
_symmetry_space_group_name_Hall '-R 3 2"'
loop_
_atom_site_label
_atom_site_type_symbol
_atom_site_fract_x
_atom_site_fract_y
_atom_site_fract_z
_atom_site_occupancy
Ac1 Ac 0.0000 0.0000 0.2415 1
Ac2 Ac 0.0008 0.5004 0.2405 1
Ge1 Ge 0.0000 0.5000 0.5000 1
Te1 Te 0.0000 0.0000 0.0000 1
Te2 Te 0.0000 0.5000 0.0000 1
P1 P 0.0000 0.0000 0.5000 1
# Formation energy (no corrections)   -1.30 eV/atom
# DOS at the Fermi energy   11.11 states/eV/cell



11.
# PBE-GGA EuYAgRu, optimized geometry
data_EuYAgRu
_chemical_formula_sum 'Eu4 Y4 Ag4 Ru4'
_cell_length_a 7.126
_cell_length_b 7.126
_cell_length_c 7.126
_cell_angle_alpha 90.00
_cell_angle_beta 90.00
_cell_angle_gamma 90.00
_symmetry_space_group_name_H-M 'F -4 3 m'
_symmetry_Int_Tables_number 216
_symmetry_space_group_name_Hall 'F -4 2 3'
loop_
_atom_site_label
_atom_site_type_symbol
_atom_site_fract_x
_atom_site_fract_y
_atom_site_fract_z
_atom_site_occupancy
Eu1 Eu 0.000 0.000 0.000 1
Y1 Y 0.000 0.000 0.500 1
Ag1 Ag 0.250 0.250 0.250 1
Ru1 Ru 0.250 0.250 0.750 1
# DFT total energy   -7.346 eV per atom
# DOS at the Fermi energy   44.45 states/eV/cell



12.
# PBE-GGA Ba2ErTmSe4, optimized geometry
data_Ba2ErTmSe4
_chemical_formula_sum 'Ba2 Er1 Tm1 Se4'
_cell_length_a 7.344
_cell_length_b 4.253
_cell_length_c 7.788
_cell_angle_alpha 90.00
_cell_angle_beta 108.44
_cell_angle_gamma 90.00
_symmetry_space_group_name_H-M 'P 1 2/m 1'
_symmetry_Int_Tables_number 10
_symmetry_space_group_name_Hall '-P 2y'
loop_
_atom_site_label
_atom_site_type_symbol
_atom_site_fract_x
_atom_site_fract_y
_atom_site_fract_z
_atom_site_occupancy
Ba1 Ba 0.000 0.000 0.000 1
Ba2 Ba 0.500 0.500 0.000 1
Er1 Er 0.000 0.500 0.500 1
Tm1 Tm 0.500 0.000 0.500 1
Se1 Se 0.237 0.000 0.708 1
Se2 Se 0.265 0.500 0.292 1
# Formation energy (no corrections)   -1.85 eV/atom
# DOS at the Fermi energy   3.88 states/eV/cell